Record 1
The following is a DFT calculation (PBE) of a geometry-optimized PmSiTc2 structure.

Lattice parameters (Å, degrees): 4.1973 4.1973 5.8119 68.83 68.83 60.00
Closest atoms and distances in Å follow each position.
Sites, in units of the cell vectors:
1 Pm 0.4976 0.4976 0.5068  4 Si 3.14-3.28, 4 Tc 3.17-3.21
2 Si 0.7048 0.7048 0.8858  6 Tc 2.50-2.69
3 Tc 0.0000 0.0000 0.0003  3 Tc 2.49, 3 Si 2.50
4 Tc 0.2976 0.2976 0.1071  3 Tc 2.49, 3 Si 2.69

Magnetization (μB/f.u.): 0.000
Formation energy without anion corrections (eV per atom): -0.332
DOS(E_F) (states/eV/atom): 0.544

***

Record 2
The following is a DFT calculation (PBE) of a geometry-optimized PmSi3Tc3 structure.

Lattice parameters (Å, degrees): 6.5810 6.5810 6.5810 90.00 90.00 90.00
Closest atoms and distances in Å follow each position.
Sites, in units of the cell vectors:
1 Si 0.2500 0.0000 0.5000  4 Tc 2.33
2 Si 0.0000 0.5000 0.2500  4 Tc 2.33
3 Si 0.5000 0.7500 0.0000  4 Tc 2.33
4 Si 0.7500 0.0000 0.5000  4 Tc 2.33
5 Si 0.0000 0.5000 0.7500  4 Tc 2.33
6 Si 0.5000 0.2500 0.0000  4 Tc 2.33
7 Tc 0.0000 0.2500 0.5000  4 Si 2.33
8 Tc 0.0000 0.7500 0.5000  4 Si 2.33
9 Tc 0.5000 0.0000 0.7500  4 Si 2.33
10 Tc 0.7500 0.5000 0.0000  4 Si 2.33
11 Tc 0.5000 0.0000 0.2500  4 Si 2.33
12 Tc 0.2500 0.5000 0.0000  4 Si 2.33
13 Pm 0.5000 0.5000 0.5000  12 Tc 3.68, 12 Si 3.68
14 Pm 0.0000 0.0000 0.0000  12 Tc 3.68, 12 Si 3.68

Magnetization (μB/f.u.): 2.279
Formation energy without anion corrections (eV per atom): 0.105
DOS(E_F) (states/eV/atom): 1.058

***

Record 3
The following is a DFT calculation (PBE) of a geometry-optimized Pm3Si9Tc2 structure.

Lattice parameters (Å, degrees): 4.1629 7.9702 7.9702 78.25 74.86 74.86
Closest atoms and distances in Å follow each position.
Sites, in units of the cell vectors:
1 Pm 0.0000 0.0000 0.0000  12 Si 3.16-3.17, 4 Tc 3.40
2 Pm 0.6785 0.3215 0.3215  10 Si 2.94-3.11, 2 Tc 3.13
3 Pm 0.3215 0.6785 0.6785  10 Si 2.94-3.11, 2 Tc 3.13
4 Si 0.0000 0.5000 0.5000  4 Si 2.65, 4 Pm 2.94
5 Si 0.6706 0.9609 0.6980  1 Tc 2.41, 4 Si 2.55-2.64
6 Si 0.3294 0.0391 0.3020  1 Tc 2.41, 4 Si 2.55-2.64
7 Si 0.6706 0.6980 0.9609  1 Tc 2.41, 4 Si 2.55-2.64
8 Si 0.3294 0.3020 0.0391  1 Tc 2.41, 4 Si 2.55-2.64
9 Si 0.8761 0.8444 0.4035  2 Tc 2.54, 4 Si 2.55-2.65
10 Si 0.1239 0.1556 0.5965  2 Tc 2.54, 4 Si 2.55-2.65
11 Si 0.8761 0.4035 0.8444  2 Tc 2.54, 4 Si 2.55-2.65
12 Si 0.1239 0.5965 0.1556  2 Tc 2.54, 4 Si 2.55-2.65
13 Tc 0.5000 0.2676 0.7324  6 Si 2.41-2.54
14 Tc 0.5000 0.7324 0.2676  6 Si 2.41-2.54

Magnetization (μB/f.u.): 0.000
Formation energy without anion corrections (eV per atom): -0.453
DOS(E_F) (states/eV/atom): 0.459